# 1
Here is a relaxed ZrIrCl2 crystal from Alexandria. Energies are from PBE-GGA.

Cell lengths 4.1433, 4.1433, 4.1271 Å; angles 90.00, 90.00, 90.00 degrees
Sites, in units of the cell vectors:
Cl (0.5000, 0.5000, 0.0000)
Cl (0.0000, 0.0000, 0.0000)
Ir (0.5000, 0.0000, 0.5000)
Zr (0.0000, 0.5000, 0.5000)

- theoretical density (g/cm3) = 8.3
- electronic total energy (eV per atom) = -5.183
- offset from the most stable computed form (meV per atom) = 899

# 2
Here is a relaxed SrCu2RhO crystal from Alexandria. Energies are from PBE-GGA.

Cell lengths 4.8671, 3.9428, 4.8671 Å; angles 90.00, 90.00, 90.00 degrees
Each line ends with the local moment (μB).
Sites, in units of the cell vectors:
Cu (0.0000, 0.0000, 0.5000)  0.00
Cu (0.5000, 0.0000, 0.0000)  0.01
Sr (0.5000, 0.5000, 0.5000)  0.00
O (0.0000, 0.5000, 0.0000)  0.25
Rh (0.0000, 0.0000, 0.0000)  0.39

- theoretical density (g/cm3) = 5.9
- electronic total energy (eV per atom) = -4.568

# 3
Here is a relaxed CdRuCl2 crystal from Alexandria. Energies are from PBE-GGA.

Cell lengths 8.1434, 8.1434, 6.3738 Å; angles 50.30, 50.30, 90.00 degrees
Sites, in units of the cell vectors:
Cl (0.5000, 0.1250, 0.2500)
Cl (0.2500, 0.6250, 0.2500)
Cl (0.8750, 0.7500, 0.7500)
Cl (0.3750, 0.5000, 0.7500)
Cd (0.7500, 0.2500, 0.5000)
Cd (0.0000, 0.0000, 0.0000)
Ru (0.5000, 0.5000, 0.0000)
Ru (0.2500, 0.7500, 0.5000)

- theoretical density (g/cm3) = 5.2
- electronic total energy (eV per atom) = -3.473
- offset from the most stable computed form (meV per atom) = 193

# 4
Here is a relaxed Al2SbTe crystal from Alexandria. Energies are from PBE-GGA.

Cell lengths 3.5765, 5.2932, 4.9795 Å; angles 90.00, 90.00, 90.00 degrees
Sites, in units of the cell vectors:
Al (0.5000, 0.5000, 0.0000)
Al (0.0000, 0.0000, 0.0000)
Sb (0.5000, 0.0000, 0.5000)
Te (0.0000, 0.5000, 0.5000)

- theoretical density (g/cm3) = 5.3
- electronic total energy (eV per atom) = -3.433
- offset from the most stable computed form (meV per atom) = 364

# 5
Here is a relaxed BaSb3Pt crystal from Alexandria. Energies are from PBE-GGA.

Cell lengths 6.1093, 6.1093, 6.1093 Å; angles 90.00, 90.00, 90.00 degrees
Sites, in units of the cell vectors:
Pt (0.5000, 0.5000, 0.5000)
Sb (0.0000, 0.5000, 0.0000)
Sb (0.0000, 0.0000, 0.5000)
Sb (0.5000, 0.0000, 0.0000)
Ba (0.0000, 0.0000, 0.0000)

- theoretical density (g/cm3) = 5.1
- electronic total energy (eV per atom) = -2.440
- offset from the most stable computed form (meV per atom) = 2197

# 6
Here is a relaxed Ac2In3Pd crystal from Alexandria. Energies are from PBE-GGA.

Cell lengths 4.9993, 6.2839, 6.4928 Å; angles 78.53, 67.36, 66.56 degrees
Sites, in units of the cell vectors:
Pd (0.1697, 0.3778, 0.2827)
Ac (0.4452, 0.8053, 0.3043)
Ac (0.5462, 0.2079, 0.6997)
In (0.8237, 0.2428, 0.1098)
In (0.1626, 0.7599, 0.9149)
In (0.8526, 0.6063, 0.6885)

- theoretical density (g/cm3) = 8.7
- electronic total energy (eV per atom) = -4.179
- formation energy (eV per atom) = -0.575
- offset from the most stable computed form (meV per atom) = 0

# 7
Here is a relaxed ZrAl3Au3 crystal from Alexandria. Energies are from PBE-GGA.

Cell lengths 6.8567, 6.8567, 6.8567 Å; angles 90.00, 90.00, 90.00 degrees
Each line ends with the local moment (μB).
Sites, in units of the cell vectors:
Al (0.0000, 0.7500, 0.5000)  0.00
Al (0.5000, 0.0000, 0.7500)  0.00
Al (0.5000, 0.0000, 0.2500)  0.00
Al (0.7500, 0.5000, 0.0000)  0.00
Al (0.0000, 0.2500, 0.5000)  0.00
Al (0.2500, 0.5000, 0.0000)  0.00
Au (0.2500, 0.0000, 0.5000)  0.00
Au (0.0000, 0.5000, 0.2500)  0.00
Au (0.5000, 0.7500, 0.0000)  0.00
Au (0.0000, 0.5000, 0.7500)  0.00
Au (0.5000, 0.2500, 0.0000)  0.00
Au (0.7500, 0.0000, 0.5000)  0.00
Zr (0.0000, 0.0000, 0.0000)  0.42
Zr (0.5000, 0.5000, 0.5000)  0.42

- theoretical density (g/cm3) = 7.9
- electronic total energy (eV per atom) = -4.053
- formation energy (eV per atom) = 0.177

# 8
Here is a relaxed Tb3CePm6Ho2 crystal from Alexandria. Energies are from PBE-GGA.

Cell lengths 6.2430, 6.2430, 11.9034 Å; angles 95.02, 95.02, 120.01 degrees
Each line ends with the local moment (μB).
Sites, in units of the cell vectors:
Pm (0.2488, 0.2488, 0.7508)  0.01
Pm (0.4143, 0.0827, 0.2491)  0.01
Pm (0.5857, 0.9173, 0.7509)  0.01
Pm (0.9173, 0.5857, 0.7509)  0.01
Pm (0.7512, 0.7512, 0.2492)  0.01
Pm (0.0827, 0.4143, 0.2491)  0.01
Tb (0.5000, 0.5000, 0.5000)  -0.01
Tb (0.8328, 0.1672, 0.5000)  -0.01
Tb (0.1672, 0.8328, 0.5000)  -0.01
Ho (0.6665, 0.3335, 0.0000)  0.07
Ho (0.3335, 0.6665, 0.0000)  0.07
Ce (0.0000, 0.0000, 0.0000)  0.83

- theoretical density (g/cm3) = 7.6
- electronic total energy (eV per atom) = -4.754
- formation energy (eV per atom) = 0.037